Arrangement 1

{
  "formula": "Tl3As2S4",
  "functional": "GGA-PBE",
  "state": "relaxed",
  "lattice": [[7.386, -4.259, 0.000], [7.386, 4.259, 0.000], [-0.296, 0.000, 9.447]],
  "species": ["Tl", "Tl", "Tl", "Tl", "Tl", "Tl", "As", "As", "As", "As", "S", "S", "S", "S", "S", "S", "S", "S"],
  "fractional_positions": [[0.013, 0.987, 0.750], [0.328, 0.442, 0.287], [0.442, 0.328, 0.787], [0.558, 0.672, 0.213], [0.672, 0.558, 0.713], [0.987, 0.013, 0.250], [0.055, 0.328, 0.976], [0.328, 0.055, 0.476], [0.672, 0.945, 0.524], [0.945, 0.672, 0.024], [0.085, 0.327, 0.742], [0.198, 0.683, 0.002], [0.317, 0.802, 0.498], [0.327, 0.085, 0.242], [0.673, 0.915, 0.758], [0.683, 0.198, 0.502], [0.802, 0.317, 0.998], [0.915, 0.673, 0.258]],
  "dos_at_fermi_per_ev_atom": 0.319,
  "sg": "No. 15"
}

---

Arrangement 2

{
  "formula": "Tl3As2S4",
  "functional": "GGA-PBE",
  "state": "relaxed",
  "lattice": [[6.714, -6.095, 0.000], [6.714, 6.095, 0.000], [-1.174, 0.000, 6.636]],
  "species": ["Tl", "Tl", "Tl", "Tl", "Tl", "Tl", "As", "As", "As", "As", "S", "S", "S", "S", "S", "S", "S", "S"],
  "fractional_positions": [[0.144, 0.856, 0.750], [0.248, 0.469, 0.175], [0.469, 0.248, 0.675], [0.531, 0.752, 0.325], [0.752, 0.531, 0.825], [0.856, 0.144, 0.250], [0.046, 0.322, 0.678], [0.322, 0.046, 0.178], [0.678, 0.954, 0.822], [0.954, 0.678, 0.322], [0.087, 0.212, 0.961], [0.212, 0.087, 0.461], [0.215, 0.487, 0.713], [0.487, 0.215, 0.213], [0.513, 0.785, 0.787], [0.785, 0.513, 0.287], [0.788, 0.913, 0.539], [0.913, 0.788, 0.039]],
  "dos_at_fermi_per_ev_atom": 0.254,
  "sg": "No. 15"
}

---

Result of the stability comparison: arrangement 1 is the most stable of them.

---

Arrangement 1

{
  "formula": "TlAsS4",
  "functional": "GGA-PBE",
  "state": "relaxed",
  "lattice": [[6.534, 0.000, 0.000], [2.731, 6.668, 0.000], [3.206, -0.541, 8.494]],
  "species": ["Tl", "Tl", "As", "As", "S", "S", "S", "S", "S", "S", "S", "S"],
  "fractional_positions": [[0.156, 0.019, 0.178], [0.844, 0.981, 0.822], [0.294, 0.486, 0.917], [0.706, 0.514, 0.083], [0.044, 0.282, 0.917], [0.345, 0.236, 0.500], [0.345, 0.877, 0.491], [0.462, 0.287, 0.081], [0.538, 0.713, 0.919], [0.655, 0.123, 0.509], [0.655, 0.764, 0.500], [0.956, 0.718, 0.083]],
  "dos_at_fermi_per_ev_atom": 0.005,
  "sg": "No. 2"
}

---

Arrangement 2

{
  "formula": "TlAsS4",
  "functional": "GGA-PBE",
  "state": "relaxed",
  "lattice": [[6.997, -3.388, 0.000], [6.997, 3.388, 0.000], [-1.928, 0.000, 7.743]],
  "species": ["Tl", "Tl", "As", "As", "S", "S", "S", "S", "S", "S", "S", "S"],
  "fractional_positions": [[0.208, 0.208, 0.134], [0.792, 0.792, 0.866], [0.432, 0.432, 0.801], [0.568, 0.568, 0.199], [0.118, 0.742, 0.476], [0.250, 0.750, 0.000], [0.258, 0.882, 0.524], [0.275, 0.275, 0.799], [0.725, 0.725, 0.201], [0.742, 0.118, 0.476], [0.750, 0.250, 0.000], [0.882, 0.258, 0.524]],
  "dos_at_fermi_per_ev_atom": 0.194,
  "sg": "No. 12"
}

---

Result of the stability comparison: arrangement 1 is the most stable of them.

---

Arrangement 1

{
  "formula": "Tl5AsS4",
  "functional": "GGA-PBE",
  "state": "relaxed",
  "lattice": [[9.033, -1.985, 0.000], [9.033, 1.985, 0.000], [-2.298, 0.000, 7.947]],
  "species": ["Tl", "Tl", "Tl", "Tl", "Tl", "As", "S", "S", "S", "S"],
  "fractional_positions": [[0.000, 0.000, 0.000], [0.319, 0.319, 0.186], [0.341, 0.341, 0.698], [0.659, 0.659, 0.302], [0.681, 0.681, 0.814], [0.000, 0.000, 0.500], [0.150, 0.150, 0.544], [0.485, 0.485, 0.281], [0.515, 0.515, 0.719], [0.850, 0.850, 0.456]],
  "dos_at_fermi_per_ev_atom": 0.007,
  "sg": "No. 12"
}

---

Arrangement 2

{
  "formula": "Tl5AsS4",
  "functional": "GGA-PBE",
  "state": "relaxed",
  "lattice": [[9.125, 0.000, 0.000], [0.000, 9.333, 0.000], [0.000, 0.000, 7.361]],
  "species": ["Tl", "Tl", "Tl", "Tl", "Tl", "Tl", "Tl", "Tl", "Tl", "Tl", "As", "As", "S", "S", "S", "S", "S", "S", "S", "S"],
  "fractional_positions": [[0.060, 0.031, 0.243], [0.060, 0.469, 0.243], [0.250, 0.750, 0.604], [0.440, 0.031, 0.243], [0.440, 0.469, 0.243], [0.560, 0.531, 0.757], [0.560, 0.969, 0.757], [0.750, 0.250, 0.396], [0.940, 0.531, 0.757], [0.940, 0.969, 0.757], [0.250, 0.250, 0.829], [0.750, 0.750, 0.171], [0.051, 0.250, 0.642], [0.250, 0.532, 0.886], [0.250, 0.968, 0.886], [0.449, 0.250, 0.642], [0.551, 0.750, 0.358], [0.750, 0.032, 0.114], [0.750, 0.468, 0.114], [0.949, 0.750, 0.358]],
  "sg": "No. 59"
}

---

Result of the stability comparison: arrangement 1 is the most stable of them.

---

Arrangement 1

{
  "formula": "UAsS4",
  "functional": "GGA-PBE",
  "state": "relaxed",
  "lattice": [[13.821, 0.000, 0.000], [0.000, 3.875, 0.000], [-1.873, 0.000, 6.340]],
  "species": ["U", "U", "As", "As", "S", "S", "S", "S", "S", "S", "S", "S"],
  "fractional_positions": [[0.000, 0.000, 0.000], [0.500, 0.500, 0.000], [0.000, 0.500, 0.500], [0.500, 0.000, 0.500], [0.102, 0.000, 0.393], [0.105, 0.500, 0.890], [0.395, 0.000, 0.110], [0.398, 0.500, 0.607], [0.602, 0.500, 0.393], [0.605, 0.000, 0.890], [0.895, 0.500, 0.110], [0.898, 0.000, 0.607]],
  "dos_at_fermi_per_ev_atom": 0.711,
  "sg": "No. 12"
}

---

Arrangement 2

{
  "formula": "UAsS4",
  "functional": "GGA-PBE",
  "state": "relaxed",
  "lattice": [[7.812, -2.606, 0.000], [7.812, 2.606, 0.000], [-3.009, 0.000, 8.232]],
  "species": ["U", "U", "As", "As", "S", "S", "S", "S", "S", "S", "S", "S"],
  "fractional_positions": [[0.206, 0.206, 0.308], [0.794, 0.794, 0.692], [0.098, 0.098, 0.752], [0.902, 0.902, 0.248], [0.056, 0.056, 0.372], [0.103, 0.103, 0.013], [0.283, 0.283, 0.638], [0.359, 0.359, 0.261], [0.641, 0.641, 0.739], [0.717, 0.717, 0.362], [0.897, 0.897, 0.987], [0.944, 0.944, 0.628]],
  "dos_at_fermi_per_ev_atom": 0.717,
  "sg": "No. 12"
}

---

Result of the stability comparison: arrangement 1 is the most stable of them.

---

Arrangement 1

{
  "formula": "U3AsS3",
  "functional": "GGA-PBE",
  "state": "relaxed",
  "lattice": [[4.128, 2.384, 5.464], [-4.128, 2.384, 5.464], [0.000, -4.767, 5.464]],
  "species": ["U", "U", "U", "U", "U", "U", "As", "As", "S", "S", "S", "S", "S", "S"],
  "fractional_positions": [[0.049, 0.426, 0.793], [0.207, 0.951, 0.574], [0.426, 0.793, 0.049], [0.574, 0.207, 0.951], [0.793, 0.049, 0.426], [0.951, 0.574, 0.207], [0.167, 0.167, 0.167], [0.833, 0.833, 0.833], [0.133, 0.691, 0.406], [0.309, 0.594, 0.867], [0.406, 0.133, 0.691], [0.594, 0.867, 0.309], [0.691, 0.406, 0.133], [0.867, 0.309, 0.594]],
  "dos_at_fermi_per_ev_atom": 2.204,
  "sg": "No. 148"
}

---

Arrangement 2

{
  "formula": "U3AsS3",
  "functional": "GGA-PBE",
  "state": "relaxed",
  "lattice": [[5.542, 0.000, 0.000], [0.000, 5.542, 0.000], [0.000, 0.000, 5.542]],
  "species": ["U", "U", "U", "As", "S", "S", "S"],
  "fractional_positions": [[0.000, 0.000, 0.500], [0.000, 0.500, 0.000], [0.500, 0.000, 0.000], [0.000, 0.000, 0.000], [0.000, 0.500, 0.500], [0.500, 0.000, 0.500], [0.500, 0.500, 0.000]],
  "dos_at_fermi_per_ev_atom": 2.691,
  "sg": "No. 221"
}

---

Result of the stability comparison: arrangement 1 is the most stable of them.

---

Arrangement 1

{
  "formula": "U3AsS2",
  "functional": "GGA-PBE",
  "state": "relaxed",
  "lattice": [[5.672, -3.512, 0.000], [5.672, 3.512, 0.000], [0.000, 0.000, 6.470]],
  "species": ["U", "U", "U", "U", "U", "U", "As", "As", "S", "S", "S", "S"],
  "fractional_positions": [[0.034, 0.966, 0.750], [0.146, 0.558, 0.750], [0.442, 0.854, 0.750], [0.558, 0.146, 0.250], [0.854, 0.442, 0.250], [0.966, 0.034, 0.250], [0.370, 0.630, 0.250], [0.630, 0.370, 0.750], [0.207, 0.207, 0.000], [0.207, 0.207, 0.500], [0.793, 0.793, 0.000], [0.793, 0.793, 0.500]],
  "dos_at_fermi_per_ev_atom": 1.829,
  "sg": "No. 63"
}

---

Arrangement 2

{
  "formula": "U3AsS2",
  "functional": "GGA-PBE",
  "state": "relaxed",
  "lattice": [[2.029, -6.551, 0.000], [2.029, 6.551, 0.000], [0.000, 0.000, 9.938]],
  "species": ["U", "U", "U", "U", "U", "U", "As", "As", "S", "S", "S", "S"],
  "fractional_positions": [[0.092, 0.908, 0.750], [0.345, 0.655, 0.542], [0.345, 0.655, 0.958], [0.655, 0.345, 0.042], [0.655, 0.345, 0.458], [0.908, 0.092, 0.250], [0.248, 0.752, 0.250], [0.752, 0.248, 0.750], [0.000, 0.000, 0.000], [0.000, 0.000, 0.500], [0.467, 0.533, 0.750], [0.533, 0.467, 0.250]],
  "dos_at_fermi_per_ev_atom": 1.785,
  "sg": "No. 63"
}

---

Result of the stability comparison: arrangement 2 is the most stable of them.

---

Arrangement 1

{
  "formula": "U2AsS",
  "functional": "GGA-PBE",
  "state": "relaxed",
  "lattice": [[3.799, 0.000, 0.000], [-1.900, 3.290, 0.000], [0.000, 0.000, 21.858]],
  "species": ["U", "U", "U", "U", "U", "U", "As", "As", "As", "S", "S", "S"],
  "fractional_positions": [[0.000, 0.000, 0.000], [0.000, 0.000, 0.167], [0.333, 0.667, 0.667], [0.333, 0.667, 0.833], [0.667, 0.333, 0.333], [0.667, 0.333, 0.500], [0.000, 0.000, 0.582], [0.333, 0.667, 0.249], [0.667, 0.333, 0.916], [0.000, 0.000, 0.751], [0.333, 0.667, 0.418], [0.667, 0.333, 0.085]],
  "dos_at_fermi_per_ev_atom": 1.848,
  "sg": "No. 160"
}

---

Arrangement 2

{
  "formula": "U2AsS",
  "functional": "GGA-PBE",
  "state": "relaxed",
  "lattice": [[3.455, 0.000, 0.000], [0.000, 3.455, 0.000], [0.000, 0.000, 6.928]],
  "species": ["U", "U", "As", "S"],
  "fractional_positions": [[0.000, 0.000, 0.248], [0.000, 0.000, 0.752], [0.500, 0.500, 0.500], [0.500, 0.500, 0.000]],
  "dos_at_fermi_per_ev_atom": 2.091,
  "sg": "No. 123"
}

---

Result of the stability comparison: arrangement 1 is the most stable of them.

---

Arrangement 1

{
  "formula": "U2AsS2",
  "functional": "GGA-PBE",
  "state": "relaxed",
  "lattice": [[9.900, 0.000, 0.000], [0.000, 9.900, 0.000], [0.000, 0.000, 14.634]],
  "species": ["U", "U", "As", "S", "S"],
  "fractional_positions": [[0.000, 0.000, 0.184], [0.000, 0.000, 0.816], [0.000, 0.000, 0.000], [0.000, 0.000, 0.345], [0.000, 0.000, 0.655]],
  "dos_at_fermi_per_ev_atom": 4.855,
  "sg": "No. 123"
}

---

Arrangement 2

{
  "formula": "U2AsS2",
  "functional": "GGA-PBE",
  "state": "relaxed",
  "lattice": [[2.655, 0.000, 0.000], [0.000, 2.655, 0.000], [0.000, 0.000, 15.600]],
  "species": ["U", "U", "As", "S", "S"],
  "fractional_positions": [[0.000, 0.000, 0.190], [0.000, 0.000, 0.810], [0.000, 0.000, 0.000], [0.000, 0.000, 0.364], [0.000, 0.000, 0.636]],
  "dos_at_fermi_per_ev_atom": 1.267,
  "sg": "No. 123"
}

---

Result of the stability comparison: arrangement 2 is the most stable of them.

---

Arrangement 1

{
  "formula": "VAs2S2",
  "functional": "GGA-PBE",
  "state": "relaxed",
  "lattice": [[6.182, 0.000, 0.000], [0.000, 6.182, 0.000], [0.000, 0.000, 5.085]],
  "species": ["V", "V", "As", "As", "As", "As", "S", "S", "S", "S"],
  "fractional_positions": [[0.000, 0.000, 0.000], [0.500, 0.500, 0.000], [0.223, 0.277, 0.500], [0.277, 0.777, 0.500], [0.723, 0.223, 0.500], [0.777, 0.723, 0.500], [0.167, 0.333, 0.000], [0.333, 0.833, 0.000], [0.667, 0.167, 0.000], [0.833, 0.667, 0.000]],
  "dos_at_fermi_per_ev_atom": 0.762,
  "sg": "No. 127"
}

---

Arrangement 2

{
  "formula": "VAs2S2",
  "functional": "GGA-PBE",
  "state": "relaxed",
  "lattice": [[3.510, 0.000, 0.000], [0.000, 3.510, 0.000], [0.000, 0.000, 17.155]],
  "species": ["V", "V", "As", "As", "As", "As", "S", "S", "S", "S"],
  "fractional_positions": [[0.000, 0.000, 0.000], [0.500, 0.500, 0.500], [0.000, 0.500, 0.250], [0.000, 0.500, 0.750], [0.500, 0.000, 0.250], [0.500, 0.000, 0.750], [0.000, 0.000, 0.436], [0.000, 0.000, 0.564], [0.500, 0.500, 0.064], [0.500, 0.500, 0.936]],
  "dos_at_fermi_per_ev_atom": 0.572,
  "sg": "No. 139"
}

---

Result of the stability comparison: arrangement 1 is the most stable of them.

---

Arrangement 1

{
  "formula": "V2AsS",
  "functional": "GGA-PBE",
  "state": "relaxed",
  "lattice": [[6.029, 0.000, 0.000], [0.000, 6.029, 0.000], [0.000, 0.000, 6.029]],
  "species": ["V", "V", "V", "V", "V", "V", "V", "V", "As", "As", "As", "As", "S", "S", "S", "S"],
  "fractional_positions": [[0.250, 0.250, 0.250], [0.250, 0.250, 0.750], [0.250, 0.750, 0.250], [0.250, 0.750, 0.750], [0.750, 0.250, 0.250], [0.750, 0.250, 0.750], [0.750, 0.750, 0.250], [0.750, 0.750, 0.750], [0.000, 0.000, 0.000], [0.000, 0.500, 0.500], [0.500, 0.000, 0.500], [0.500, 0.500, 0.000], [0.000, 0.000, 0.500], [0.000, 0.500, 0.000], [0.500, 0.000, 0.000], [0.500, 0.500, 0.500]],
  "dos_at_fermi_per_ev_atom": 1.051,
  "sg": "No. 225"
}

---

Arrangement 2

{
  "formula": "V2AsS",
  "functional": "GGA-PBE",
  "state": "relaxed",
  "lattice": [[3.199, 0.000, 0.000], [-1.600, 2.770, 0.000], [0.000, 0.000, 19.495]],
  "species": ["V", "V", "V", "V", "V", "V", "As", "As", "As", "S", "S", "S"],
  "fractional_positions": [[0.000, 0.000, 0.000], [0.000, 0.000, 0.151], [0.333, 0.667, 0.667], [0.333, 0.667, 0.817], [0.667, 0.333, 0.333], [0.667, 0.333, 0.484], [0.000, 0.000, 0.575], [0.333, 0.667, 0.242], [0.667, 0.333, 0.909], [0.000, 0.000, 0.741], [0.333, 0.667, 0.408], [0.667, 0.333, 0.074]],
  "dos_at_fermi_per_ev_atom": 0.965,
  "sg": "No. 160"
}

---

Result of the stability comparison: arrangement 2 is the most stable of them.

---

Arrangement 1

{
  "formula": "V3AsS",
  "functional": "GGA-PBE",
  "state": "relaxed",
  "lattice": [[7.366, -1.625, 0.000], [7.366, 1.625, 0.000], [-0.234, 0.000, 6.579]],
  "species": ["V", "V", "V", "V", "V", "V", "As", "As", "S", "S"],
  "fractional_positions": [[0.037, 0.037, 0.177], [0.184, 0.184, 0.519], [0.298, 0.298, 0.846], [0.702, 0.702, 0.154], [0.816, 0.816, 0.481], [0.963, 0.963, 0.823], [0.135, 0.135, 0.892], [0.865, 0.865, 0.108], [0.414, 0.414, 0.611], [0.586, 0.586, 0.389]],
  "dos_at_fermi_per_ev_atom": 1.033,
  "sg": "No. 12"
}

---

Arrangement 2

{
  "formula": "V3AsS",
  "functional": "GGA-PBE",
  "state": "relaxed",
  "lattice": [[4.272, 0.000, 0.000], [0.000, 4.272, 0.000], [0.000, 0.000, 4.272]],
  "species": ["V", "V", "V", "As", "S"],
  "fractional_positions": [[0.000, 0.000, 0.500], [0.000, 0.500, 0.000], [0.500, 0.000, 0.000], [0.500, 0.500, 0.500], [0.000, 0.000, 0.000]],
  "dos_at_fermi_per_ev_atom": 1.084,
  "sg": "No. 221"
}

---

Result of the stability comparison: arrangement 1 is the most stable of them.